No. 1
# TbHoC

A geometry-optimized TbHoC structure (PBE-GGA, the Alexandria database).

D(E_F)   2.2 states/eV/f.u.
Calculated total energy   -6.402 eV per atom
Space group   P3m1 (156)

POSCAR file:
```
TbHoC
1.0
-2.518 -2.175 1.293
0.297 0.491 -3.523
3.994 -4.823 -0.336
C Tb Ho
1 1 1
direct
0.667 0.333 0.336
0.000 0.000 0.116
0.333 0.667 0.548
```

=====

No. 2
# AcNd2Al2Sn2

A geometry-optimized AcNd2Al2Sn2 structure (PBE-GGA, the Alexandria database).

D(E_F)   3.7 states/eV/f.u.
Calculated total energy   -4.509 eV per atom
Space group   R-3m (166)

POSCAR file:
```
AcNd2Al2Sn2
1.0
4.769 0.000 0.000
2.384 4.130 0.000
2.384 1.377 10.203
Ac Nd Al Sn
1 2 2 2
direct
0.000 0.000 0.000
0.132 0.132 0.604
0.868 0.868 0.396
0.585 0.585 0.244
0.415 0.415 0.756
0.737 0.737 0.789
0.263 0.263 0.211
```

=====

No. 3
# Ce4Dy3ScS8

A geometry-optimized Ce4Dy3ScS8 structure (PBE-GGA, the Alexandria database).

D(E_F)   21.7 states/eV/f.u.
Calculated total energy   -6.809 eV per atom
Space group   R-3m (166)
ΔE_f (raw)   -2003 meV/atom

POSCAR file:
```
Ce4Dy3ScS8
1.0
7.839 0.000 0.000
0.000 7.924 0.054
-3.920 -3.915 5.546
Ce Dy Sc S
4 3 1 8
direct
0.500 0.000 0.000
0.500 0.000 0.500
0.000 0.000 0.000
0.000 0.000 0.500
0.500 0.500 0.000
0.500 0.500 0.500
0.000 0.500 0.500
0.000 0.500 0.000
0.241 0.733 0.993
0.241 0.733 0.481
0.254 0.262 0.508
0.752 0.733 0.993
0.248 0.267 0.007
0.746 0.738 0.492
0.759 0.267 0.519
0.759 0.267 0.007
```